Record 1
DFT (PBE) results for a relaxed GaAg2SnSe4 crystal.

a b c (Å): 7.4201 7.4201 7.4201
angles (deg): 131.18 131.18 71.52
Closest atoms and distances in Å follow each position.
Atoms (fractional coordinates):
Ga  0.0000  0.0000  0.0000  4 Se 2.47
Ag  0.2500  0.7500  0.5000  4 Se 2.66
Ag  0.5000  0.5000  0.0000  4 Se 2.69
Sn  0.7500  0.2500  0.5000  4 Se 2.75
Se  0.1248  0.1121  0.4689  1 Ga 2.47, 2 Ag 2.66-2.69, 1 Sn 2.75
Se  0.3441  0.8752  0.9872  1 Ga 2.47, 2 Ag 2.66-2.69, 1 Sn 2.75
Se  0.6432  0.6559  0.5311  1 Ga 2.47, 2 Ag 2.66-2.69, 1 Sn 2.75
Se  0.8879  0.3568  0.0128  1 Ga 2.47, 2 Ag 2.66-2.69, 1 Sn 2.75

- Space group: I-4 (82)
- Uncorrected formation energy: -0.321 eV/atom
- Calculated total energy: -29.2 eV for the cell shown
- Crystal system: tetragonal
- N(E_F): 0.547 states/eV/atom

---

Record 2
DFT (PBE) results for a relaxed LaHfF2 crystal.

a b c (Å): 8.0704 8.0704 8.0704
angles (deg): 24.24 24.24 24.24
Closest atoms and distances in Å follow each position.
Atoms (fractional coordinates):
La  0.0000  0.0000  0.0000  6 F 2.70
Hf  0.5000  0.5000  0.5000  2 F 2.06
F  0.4123  0.4123  0.4123  1 Hf 2.06
F  0.5877  0.5877  0.5877  1 Hf 2.06

- Energy relative to the lowest polymorph listed for this composition: 0.00 eV per formula unit
- Space group: R-3m (166)
- Uncorrected formation energy: -2.088 eV/atom
- Calculated total energy: -27.0 eV for the cell shown
- Crystal system: trigonal
- N(E_F): 0.812 states/eV/atom

---

Record 3
DFT (PBE) results for a relaxed Ti21Mn25 crystal.

a b c (Å): 13.6638 13.6638 13.6638
angles (deg): 116.36 116.36 116.36
Closest atoms and distances in Å follow each position.
Atoms (fractional coordinates):
Ti  0.0438  0.5621  0.1384  8 Mn 2.66-2.93, 5 Ti 2.66-2.93
Ti  0.0493  0.8156  0.2741  7 Mn 2.65-2.78, 5 Ti 2.78-2.93
Ti  0.0491  0.9341  0.8189  12 Mn 2.72-2.88, 4 Ti 2.80-2.91
Ti  0.0545  0.7500  0.4455  4 Mn 2.61-2.67, 4 Ti 2.84-2.88
Ti  0.0621  0.5438  0.6384  8 Mn 2.66-2.93, 5 Ti 2.66-2.93
Ti  0.0659  0.1811  0.9509  12 Mn 2.72-2.88, 4 Ti 2.80-2.91
Ti  0.1384  0.0438  0.5621  8 Mn 2.66-2.93, 5 Ti 2.66-2.93
Ti  0.1811  0.9509  0.0659  12 Mn 2.72-2.88, 4 Ti 2.80-2.91
Ti  0.1844  0.7259  0.9507  7 Mn 2.65-2.78, 5 Ti 2.78-2.93
Ti  0.2259  0.6844  0.4507  7 Mn 2.65-2.78, 5 Ti 2.78-2.93
Ti  0.2500  0.5545  0.9455  4 Mn 2.61-2.67, 4 Ti 2.84-2.88
Ti  0.2741  0.0493  0.8156  7 Mn 2.65-2.78, 5 Ti 2.78-2.93
Ti  0.3156  0.5493  0.7741  7 Mn 2.65-2.78, 5 Ti 2.78-2.93
Ti  0.3189  0.4341  0.5491  12 Mn 2.72-2.88, 4 Ti 2.80-2.91
Ti  0.3616  0.9379  0.4562  8 Mn 2.66-2.93, 5 Ti 2.66-2.93
Ti  0.4341  0.5491  0.3189  12 Mn 2.72-2.88, 4 Ti 2.80-2.91
Ti  0.4379  0.8616  0.9562  8 Mn 2.66-2.93, 5 Ti 2.66-2.93
Ti  0.4455  0.0545  0.7500  4 Mn 2.61-2.67, 4 Ti 2.84-2.88
Ti  0.4507  0.2259  0.6844  7 Mn 2.65-2.78, 5 Ti 2.78-2.93
Ti  0.4509  0.6811  0.5659  12 Mn 2.72-2.88, 4 Ti 2.80-2.91
Ti  0.4562  0.3616  0.9379  8 Mn 2.66-2.93, 5 Ti 2.66-2.93
Ti  0.5438  0.6384  0.0621  8 Mn 2.66-2.93, 5 Ti 2.66-2.93
Ti  0.5491  0.3189  0.4341  12 Mn 2.72-2.88, 4 Ti 2.80-2.91
Ti  0.5493  0.7741  0.3156  7 Mn 2.65-2.78, 5 Ti 2.78-2.93
Ti  0.5545  0.9455  0.2500  4 Mn 2.61-2.67, 4 Ti 2.84-2.88
Ti  0.5621  0.1384  0.0438  8 Mn 2.66-2.93, 5 Ti 2.66-2.93
Ti  0.5659  0.4509  0.6811  12 Mn 2.72-2.88, 4 Ti 2.80-2.91
Ti  0.6384  0.0621  0.5438  8 Mn 2.66-2.93, 5 Ti 2.66-2.93
Ti  0.6811  0.5659  0.4509  12 Mn 2.72-2.88, 4 Ti 2.80-2.91
Ti  0.6844  0.4507  0.2259  7 Mn 2.65-2.78, 5 Ti 2.78-2.93
Ti  0.7259  0.9507  0.1844  7 Mn 2.65-2.78, 5 Ti 2.78-2.93
Ti  0.7500  0.4455  0.0545  4 Mn 2.61-2.67, 4 Ti 2.84-2.88
Ti  0.7741  0.3156  0.5493  7 Mn 2.65-2.78, 5 Ti 2.78-2.93
Ti  0.8156  0.2741  0.0493  7 Mn 2.65-2.78, 5 Ti 2.78-2.93
Ti  0.8189  0.0491  0.9341  12 Mn 2.72-2.88, 4 Ti 2.80-2.91
Ti  0.8616  0.9562  0.4379  8 Mn 2.66-2.93, 5 Ti 2.66-2.93
Ti  0.9341  0.8189  0.0491  12 Mn 2.72-2.88, 4 Ti 2.80-2.91
Ti  0.9379  0.4562  0.3616  8 Mn 2.66-2.93, 5 Ti 2.66-2.93
Ti  0.9455  0.2500  0.5545  4 Mn 2.61-2.67, 4 Ti 2.84-2.88
Ti  0.9509  0.0659  0.1811  12 Mn 2.72-2.88, 4 Ti 2.80-2.91
Ti  0.9507  0.1844  0.7259  7 Mn 2.65-2.78, 5 Ti 2.78-2.93
Ti  0.9562  0.4379  0.8616  8 Mn 2.66-2.93, 5 Ti 2.66-2.93
Mn  0.0000  0.0000  0.0000  6 Mn 2.44, 6 Ti 2.72
Mn  0.0179  0.3102  0.4267  5 Mn 2.35-2.41, 1 Ti 2.61
Mn  0.0712  0.3673  0.3068  5 Mn 2.34-2.40
Mn  0.0733  0.1898  0.4821  5 Mn 2.35-2.41, 1 Ti 2.61
Mn  0.1144  0.1179  0.7647  5 Mn 2.39-2.44
Mn  0.1179  0.7647  0.1144  5 Mn 2.39-2.44
Mn  0.1327  0.4288  0.1932  5 Mn 2.34-2.40
Mn  0.1889  0.3111  0.2500  6 Mn 2.34-2.46
Mn  0.1898  0.4821  0.0733  5 Mn 2.35-2.41, 1 Ti 2.61
Mn  0.1932  0.1327  0.4288  5 Mn 2.34-2.40
Mn  0.1944  0.3056  0.7500  4 Mn 2.41-2.44, 4 Ti 2.66-2.67
Mn  0.2353  0.8856  0.8821  5 Mn 2.39-2.44
Mn  0.2500  0.1889  0.3111  6 Mn 2.34-2.46
Mn  0.2500  0.8056  0.6944  4 Mn 2.41-2.44, 4 Ti 2.66-2.67
Mn  0.2647  0.6179  0.6144  5 Mn 2.39-2.44
Mn  0.3056  0.7500  0.1944  4 Mn 2.41-2.44, 4 Ti 2.66-2.67
Mn  0.3068  0.0712  0.3673  5 Mn 2.34-2.40
Mn  0.3102  0.4267  0.0179  5 Mn 2.35-2.41, 1 Ti 2.61
Mn  0.3111  0.2500  0.1889  6 Mn 2.34-2.46
Mn  0.3673  0.3068  0.0712  5 Mn 2.34-2.40
Mn  0.3821  0.3856  0.7353  5 Mn 2.39-2.44
Mn  0.3856  0.7353  0.3821  5 Mn 2.39-2.44
Mn  0.4267  0.0179  0.3102  5 Mn 2.35-2.41, 1 Ti 2.61
Mn  0.4288  0.1932  0.1327  5 Mn 2.34-2.40
Mn  0.4821  0.0733  0.1898  5 Mn 2.35-2.41, 1 Ti 2.61
Mn  0.5000  0.5000  0.5000  6 Mn 2.44, 6 Ti 2.72
Mn  0.5179  0.9267  0.8102  5 Mn 2.35-2.41, 1 Ti 2.61
Mn  0.5712  0.8068  0.8673  5 Mn 2.34-2.40
Mn  0.5733  0.9821  0.6898  5 Mn 2.35-2.41, 1 Ti 2.61
Mn  0.6144  0.2647  0.6179  5 Mn 2.39-2.44
Mn  0.6179  0.6144  0.2647  5 Mn 2.39-2.44
Mn  0.6327  0.6932  0.9288  5 Mn 2.34-2.40
Mn  0.6889  0.7500  0.8111  6 Mn 2.34-2.46
Mn  0.6898  0.5733  0.9821  5 Mn 2.35-2.41, 1 Ti 2.61
Mn  0.6932  0.9288  0.6327  5 Mn 2.34-2.40
Mn  0.6944  0.2500  0.8056  4 Mn 2.41-2.44, 4 Ti 2.66-2.67
Mn  0.7353  0.3821  0.3856  5 Mn 2.39-2.44
Mn  0.7500  0.1944  0.3056  4 Mn 2.41-2.44, 4 Ti 2.66-2.67
Mn  0.7500  0.8111  0.6889  6 Mn 2.34-2.46
Mn  0.7647  0.1144  0.1179  5 Mn 2.39-2.44
Mn  0.8056  0.6944  0.2500  4 Mn 2.41-2.44, 4 Ti 2.66-2.67
Mn  0.8068  0.8673  0.5712  5 Mn 2.34-2.40
Mn  0.8102  0.5179  0.9267  5 Mn 2.35-2.41, 1 Ti 2.61
Mn  0.8111  0.6889  0.7500  6 Mn 2.34-2.46
Mn  0.8673  0.5712  0.8068  5 Mn 2.34-2.40
Mn  0.8821  0.2353  0.8856  5 Mn 2.39-2.44
Mn  0.8856  0.8821  0.2353  5 Mn 2.39-2.44
Mn  0.9267  0.8102  0.5179  5 Mn 2.35-2.41, 1 Ti 2.61
Mn  0.9288  0.6327  0.6932  5 Mn 2.34-2.40
Mn  0.9821  0.6898  0.5733  5 Mn 2.35-2.41, 1 Ti 2.61

- Energy of formation: -11.5 eV per formula unit
- Space group: R-3c (167)
- Calculated total energy: -813.1 eV for the cell shown
- Crystal system: trigonal
- N(E_F): 0.900 states/eV/atom

---

Record 4
DFT (PBE) results for a relaxed Pr2NdSm5Ho crystal.

a b c (Å): 10.1514 10.1514 10.1514
angles (deg): 128.59 128.59 75.68
Closest atoms and distances in Å follow each position.
Atoms (fractional coordinates):
Pr  0.1187  0.6187  0.7374  1 Pr 2.96, 2 Sm 3.08
Pr  0.3813  0.1187  0.5000  1 Pr 2.96, 2 Sm 3.08
Pr  0.6187  0.8813  0.5000  1 Pr 2.96, 2 Sm 3.08
Pr  0.8813  0.3813  0.2626  1 Pr 2.96, 2 Sm 3.08
Nd  0.2500  0.2500  0.0000  10 Sm 3.61-4.01
Nd  0.7500  0.7500  0.0000  10 Sm 3.61-4.01
Sm  0.0000  0.0000  0.0000  4 Pr 3.52, 8 Sm 3.87
Sm  0.0715  0.1485  0.5000  1 Pr 3.08, 1 Ho 3.17
Sm  0.1485  0.6485  0.0770  1 Pr 3.08, 1 Ho 3.17
Sm  0.3515  0.4285  0.5000  1 Pr 3.08, 1 Ho 3.17
Sm  0.4285  0.9285  0.0770  1 Pr 3.08, 1 Ho 3.17
Sm  0.5000  0.5000  0.0000  4 Pr 3.52, 8 Sm 3.87
Sm  0.5715  0.0715  0.9230  1 Pr 3.08, 1 Ho 3.17
Sm  0.6485  0.5715  0.5000  1 Pr 3.08, 1 Ho 3.17
Sm  0.8515  0.3515  0.9230  1 Pr 3.08, 1 Ho 3.17
Sm  0.9285  0.8515  0.5000  1 Pr 3.08, 1 Ho 3.17
Ho  0.2500  0.7500  0.5000  4 Sm 3.17
Ho  0.7500  0.2500  0.5000  4 Sm 3.17

- Energy of formation: 2.4 eV per formula unit
- Space group: I4/mcm (140)
- Calculated total energy: -80.2 eV for the cell shown
- Crystal system: tetragonal
- N(E_F): 1.409 states/eV/atom

---

Record 5
DFT (PBE) results for a relaxed CaSm2Cu3 crystal.

a b c (Å): 3.5401 3.5401 10.7661
angles (deg): 90.00 90.00 90.00
Closest atoms and distances in Å follow each position.
Atoms (fractional coordinates):
Ca  0.0000  0.0000  0.0000  8 Cu 3.17, 4 Ca 3.54
Sm  0.0000  0.0000  0.3327  8 Cu 2.99-3.08
Sm  0.0000  0.0000  0.6673  8 Cu 2.99-3.08
Cu  0.5000  0.5000  0.1808  4 Sm 2.99, 4 Ca 3.17
Cu  0.5000  0.5000  0.5000  8 Sm 3.08, 2 Cu 3.44
Cu  0.5000  0.5000  0.8192  4 Sm 2.99, 4 Ca 3.17

- Energy of formation: -0.9 eV per formula unit
- Space group: P4/mmm (123)
- Calculated total energy: -24.6 eV for the cell shown
- Crystal system: tetragonal
- N(E_F): 0.604 states/eV/atom

---

Record 6
DFT (PBE) results for a relaxed ReTc crystal.

a b c (Å): 4.7878 4.4515 5.5374
angles (deg): 90.00 90.00 90.00
Closest atoms and distances in Å follow each position.
Atoms (fractional coordinates):
Re  0.0811  0.2500  0.1250  4 Re 2.73-2.77, 8 Tc 2.74-2.77
Re  0.4189  0.7500  0.6250  4 Re 2.73-2.77, 8 Tc 2.74-2.77
Re  0.5811  0.2500  0.3750  4 Re 2.73-2.77, 8 Tc 2.74-2.77
Re  0.9189  0.7500  0.8750  4 Re 2.73-2.77, 8 Tc 2.74-2.77
Tc  0.0821  0.2500  0.6250  8 Re 2.74-2.77, 4 Tc 2.74-2.77
Tc  0.4179  0.7500  0.1250  8 Re 2.74-2.77, 4 Tc 2.74-2.77
Tc  0.5821  0.2500  0.8750  8 Re 2.74-2.77, 4 Tc 2.74-2.77
Tc  0.9179  0.7500  0.3750  8 Re 2.74-2.77, 4 Tc 2.74-2.77

- Energy of formation: 0.0 eV per formula unit
- Energy relative to the lowest polymorph listed for this composition: 0.02 eV per formula unit
- Space group: Pnma (62)
- Calculated total energy: -91.2 eV for the cell shown
- Crystal system: orthorhombic
- N(E_F): 1.117 states/eV/atom

---

Record 7
DFT (PBE) results for a relaxed NaAcPrIr crystal.

a b c (Å): 5.3509 5.3509 5.3509
angles (deg): 60.00 60.00 60.00
Closest atoms and distances in Å follow each position.
Atoms (fractional coordinates):
Na  0.0000  0.0000  0.0000  4 Pr 3.28, 4 Ac 3.28
Ac  0.2500  0.2500  0.2500  4 Ir 3.28, 4 Na 3.28
Pr  0.7500  0.7500  0.7500  4 Ir 3.28, 4 Na 3.28
Ir  0.5000  0.5000  0.5000  4 Ac 3.28, 4 Pr 3.28

- Energy of formation: -0.5 eV per formula unit
- Space group: F-43m (216)
- Calculated total energy: -19.5 eV for the cell shown
- Crystal system: cubic
- N(E_F): 0.938 states/eV/atom

---

Record 8
DFT (PBE) results for a relaxed Pm2SmTh crystal.

a b c (Å): 11.9388 11.9388 11.9388
angles (deg): 17.54 17.54 17.54
Closest atoms and distances in Å follow each position.
Atoms (fractional coordinates):
Pm  0.0000  0.0000  0.0000  3 Th 3.55, 6 Pm 3.64, 3 Sm 3.68
Pm  0.1708  0.1708  0.1708  3 Th 3.56, 6 Pm 3.64, 3 Sm 3.66
Sm  0.4190  0.4190  0.4190  6 Sm 3.64, 6 Pm 3.66-3.68
Th  0.5855  0.5855  0.5855  6 Pm 3.55-3.56, 6 Th 3.64

- Energy of formation: 0.1 eV per formula unit
- Energy relative to the lowest polymorph listed for this composition: 0.00 eV per formula unit
- Space group: R3m (160)
- Calculated total energy: -21.5 eV for the cell shown
- Crystal system: trigonal
- N(E_F): 1.537 states/eV/atom

---

Record 9
DFT (PBE) results for a relaxed Li11Tl9Ag4 crystal.

a b c (Å): 12.6982 12.6982 3.3291
angles (deg): 90.00 90.00 116.10
Closest atoms and distances in Å follow each position.
Atoms (fractional coordinates):
Li  0.0000  0.0000  0.0000  8 Tl 2.93
Li  0.0630  0.4045  0.0000  2 Ag 2.76, 6 Tl 2.96-2.98
Li  0.1652  0.8348  0.0000  8 Tl 3.08-3.09, 4 Li 3.14-3.33
Li  0.2909  0.2909  0.0000  4 Ag 2.82
Li  0.3609  0.6391  0.0000  4 Ag 2.75
Li  0.4045  0.0630  0.0000  2 Ag 2.76, 6 Tl 2.96-2.98
Li  0.5955  0.9370  0.0000  2 Ag 2.76, 6 Tl 2.96-2.98
Li  0.6391  0.3609  0.0000  4 Ag 2.75
Li  0.7091  0.7091  0.0000  4 Ag 2.82
Li  0.8348  0.1652  0.0000  8 Tl 3.08-3.09, 4 Li 3.14-3.33
Li  0.9370  0.5955  0.0000  2 Ag 2.76, 6 Tl 2.96-2.98
Tl  0.0538  0.2075  0.5000  8 Li 2.93-3.19, 1 Ag 2.99
Tl  0.1410  0.6204  0.5000  8 Li 2.98-3.17, 1 Ag 3.06, 3 Tl 3.21-3.33
Tl  0.2075  0.0538  0.5000  8 Li 2.93-3.19, 1 Ag 2.99
Tl  0.3796  0.8590  0.5000  8 Li 2.98-3.17, 1 Ag 3.06, 3 Tl 3.21-3.33
Tl  0.5000  0.5000  0.5000  4 Ag 2.93, 4 Li 3.27
Tl  0.6204  0.1410  0.5000  8 Li 2.98-3.17, 1 Ag 3.06, 3 Tl 3.21-3.33
Tl  0.7925  0.9462  0.5000  8 Li 2.93-3.19, 1 Ag 2.99
Tl  0.8590  0.3796  0.5000  8 Li 2.98-3.17, 1 Ag 3.06, 3 Tl 3.21-3.33
Tl  0.9462  0.7925  0.5000  8 Li 2.93-3.19, 1 Ag 2.99
Ag  0.2513  0.4495  0.5000  6 Li 2.75-2.82, 3 Tl 2.93-3.06
Ag  0.4495  0.2513  0.5000  6 Li 2.75-2.82, 3 Tl 2.93-3.06
Ag  0.5505  0.7487  0.5000  6 Li 2.75-2.82, 3 Tl 2.93-3.06
Ag  0.7487  0.5505  0.5000  6 Li 2.75-2.82, 3 Tl 2.93-3.06

- Energy of formation: -4.8 eV per formula unit
- Space group: Cmmm (65)
- Calculated total energy: -58.5 eV for the cell shown
- Crystal system: orthorhombic
- N(E_F): 0.177 states/eV/atom